No. 1
# La2ReRu

A geometry-optimized La2ReRu structure (PBE, Alexandria).

The structure belongs to space group R3m (No. 160, hexagonal axes); the cell edges are 4.2298, 4.2298 and 21.2010 Å and the angles 90.00°, 90.00° and 120.00°. The asymmetric unit holds La at (0.0000, 0.0000, 0.0000), La at (0.0000, 0.0000, 0.1914), Re at (0.0000, 0.0000, 0.7754) and Ru at (0.0000, 0.0000, 0.4158).

As for the total magnetization: 0.0 μB/f.u. As for the density of states at the Fermi level: 1.094 states/eV per atom. The calculation puts the energy above the most stable polymorph in this dataset at 0.0 meV per atom.



No. 2
# Th2CdCo

A geometry-optimized Th2CdCo structure (PBE, Alexandria).

The structure belongs to space group P4/mmm (No. 123); the cell edges are 3.3718, 3.3718 and 8.5827 Å and the angles 90.00°, 90.00° and 90.00°. The asymmetric unit holds Th at (0.0000, 0.0000, 0.2012), Cd at (0.5000, 0.5000, 0.5000) and Co at (0.5000, 0.5000, 0.0000).

As for the total magnetization: 0.0 μB/f.u. As for the density of states at the Fermi level: 1.290 states/eV per atom. The calculation puts the energy above the most stable polymorph in this dataset at 33.2 meV per atom.



No. 3
# La2TbUN5

A geometry-optimized La2TbUN5 structure (PBE, Alexandria).

The structure belongs to space group P4/mmm (No. 123); the cell edges are 4.1094, 4.1094 and 9.0876 Å and the angles 90.00°, 90.00° and 90.00°. The asymmetric unit holds La at (0.0000, 0.0000, 0.2312), Tb at (0.5000, 0.5000, 0.5000), U at (0.5000, 0.5000, 0.0000), N at (0.0000, 0.0000, 0.5000), N at (0.0000, 0.5000, 0.0000) and N at (0.5000, 0.5000, 0.2500).

As for the total magnetization: 0.0 μB/f.u. The uncorrected formation energy is -1.2840 eV per atom. As for the density of states at the Fermi level: 0.055 states/eV per atom.



No. 4
# MnBe2HRh

A geometry-optimized MnBe2HRh structure (PBE, Alexandria).

The structure belongs to space group P4/mmm (No. 123); the cell edges are 3.7730, 3.7730 and 3.1691 Å and the angles 90.00°, 90.00° and 90.00°. The asymmetric unit holds Mn at (0.0000, 0.0000, 0.0000), Be at (0.0000, 0.5000, 0.5000), H at (0.0000, 0.0000, 0.5000) and Rh at (0.5000, 0.5000, 0.0000).

As for the total magnetization: 2.7 μB/f.u. As for the density of states at the Fermi level: 0.496 states/eV per atom. Its electronic total energy is -5.62 eV/atom.



No. 5
# AsPb3O

A geometry-optimized AsPb3O structure (PBE, Alexandria).

The structure belongs to space group Pm-3m (No. 221); the cell edges are 5.0335, 5.0335 and 5.0335 Å and the angles 90.00°, 90.00° and 90.00°. The asymmetric unit holds As at (0.0000, 0.0000, 0.0000), Pb at (0.0000, 0.5000, 0.5000) and O at (0.5000, 0.5000, 0.5000).

As for the total magnetization: 0.0 μB/f.u. The uncorrected formation energy is -0.2416 eV per atom. As for the density of states at the Fermi level: 0.339 states/eV per atom. The calculation puts the energy above the most stable polymorph in this dataset at 0.0 meV per atom.



No. 6
# BaEu2Ni

A geometry-optimized BaEu2Ni structure (PBE, Alexandria).

The structure belongs to space group R-3m (No. 166, hexagonal axes); the cell edges are 4.1969, 4.1969 and 30.5611 Å and the angles 90.00°, 90.00° and 120.00°. The asymmetric unit holds Ba at (0.0000, 0.0000, 0.0000), Eu at (0.0000, 0.0000, 0.2168) and Ni at (0.0000, 0.0000, 0.5000).

As for the total magnetization: 14.2 μB/f.u. As for the density of states at the Fermi level: 5.701 states/eV per atom. The calculation puts the energy above the most stable polymorph in this dataset at 0.0 meV per atom.



No. 7
# NaSr4Li2

A geometry-optimized NaSr4Li2 structure (PBE, Alexandria).

The structure belongs to space group R-3m (No. 166, hexagonal axes); the cell edges are 6.3082, 6.3082 and 26.4862 Å and the angles 90.00°, 90.00° and 120.00°. The asymmetric unit holds Na at (0.0000, 0.0000, 0.0000), Sr at (0.0000, 0.0000, 0.1417), Sr at (0.0000, 0.0000, 0.4117) and Li at (0.0000, 0.0000, 0.2737).

As for the total magnetization: 0.0 μB/f.u. As for the density of states at the Fermi level: 0.899 states/eV per atom. The calculation puts the energy above the most stable polymorph in this dataset at 0.0 meV per atom.



No. 8
# SrLiAg3

A geometry-optimized SrLiAg3 structure (PBE, Alexandria).

The structure belongs to space group Pm-3m (No. 221); the cell edges are 4.8740, 4.8740 and 4.8740 Å and the angles 90.00°, 90.00° and 90.00°. The asymmetric unit holds Sr at (0.0000, 0.0000, 0.0000), Li at (0.5000, 0.5000, 0.5000) and Ag at (0.0000, 0.5000, 0.5000).

As for the total magnetization: 0.0 μB/f.u. As for the density of states at the Fermi level: 0.290 states/eV per atom. The calculation puts the energy above the most stable polymorph in this dataset at 131.0 meV per atom.



No. 9
# ZnSe3

A geometry-optimized ZnSe3 structure (PBE, Alexandria).

The structure belongs to space group Cmmm (No. 65); the cell edges are 3.6250, 4.5207 and 11.1402 Å and the angles 90.00°, 90.00° and 90.00°. The asymmetric unit holds Zn at (0.0000, 0.0000, 0.0000), Se at (0.0000, 0.0000, 0.5000) and Se at (0.0000, 0.5000, 0.1773).

As for the total magnetization: 0.0 μB/f.u. The uncorrected formation energy is 0.2390 eV per atom. As for the density of states at the Fermi level: 0.735 states/eV per atom.



No. 10
# Dy3TmAu3

A geometry-optimized Dy3TmAu3 structure (PBE, Alexandria).

The structure belongs to space group C2/m (No. 12); the cell edges are 10.3747, 9.8945 and 7.0707 Å and the angles 90.00°, 97.32° and 90.00°. The asymmetric unit holds Dy at (0.0000, 0.1980, 0.0000), Dy at (0.0000, 0.2787, 0.5000), Dy at (0.1938, 0.5000, 0.9959), Tm at (0.2342, 0.0000, 0.4736), Au at (0.0426, 0.0000, 0.7129) and Au at (0.2471, 0.2457, 0.7566).

As for the total magnetization: 0.0 μB/f.u. As for the density of states at the Fermi level: 0.659 states/eV per atom. Its electronic total energy is -4.68 eV/atom.



No. 11
# ZrNbTcPd

A geometry-optimized ZrNbTcPd structure (PBE, Alexandria).

The structure belongs to space group F-43m (No. 216); the cell edges are 6.5364, 6.5364 and 6.5364 Å and the angles 90.00°, 90.00° and 90.00°. The asymmetric unit holds Zr at (0.0000, 0.0000, 0.0000), Nb at (0.0000, 0.0000, 0.5000), Tc at (0.2500, 0.2500, 0.7500) and Pd at (0.2500, 0.2500, 0.2500).

As for the total magnetization: 0.0 μB/f.u. As for the density of states at the Fermi level: 0.838 states/eV per atom. Its electronic total energy is -8.86 eV/atom.



No. 12
# SiPbSeN2

A geometry-optimized SiPbSeN2 structure (PBE, Alexandria).

The structure belongs to space group P4/mmm (No. 123); the cell edges are 3.8450, 3.8450 and 5.2851 Å and the angles 90.00°, 90.00° and 90.00°. The asymmetric unit holds Si at (0.0000, 0.0000, 0.0000), Pb at (0.5000, 0.5000, 0.5000), Se at (0.0000, 0.0000, 0.5000) and N at (0.0000, 0.5000, 0.0000).

As for the total magnetization: 0.5 μB/f.u. The uncorrected formation energy is 0.6579 eV per atom. As for the density of states at the Fermi level: 0.709 states/eV per atom. The calculation puts the energy above the most stable polymorph in this dataset at 0.0 meV per atom.